# NdEuCdRu PBE-GGA relaxed
data_NdEuCdRu
_symmetry_space_group_name_H-M 'P 1'
_symmetry_Int_Tables_number 1
_symmetry_space_group_name_Hall 'P 1'
_cell_length_a 5.1882
_cell_length_b 5.1882
_cell_length_c 5.1882
_cell_angle_alpha 60.00
_cell_angle_beta 60.00
_cell_angle_gamma 60.00
loop_
_atom_site_label
_atom_site_type_symbol
_atom_site_fract_x
_atom_site_fract_y
_atom_site_fract_z
_atom_site_occupancy
Eu1 Eu 0.5000 0.5000 0.5000 1
Nd1 Nd 0.0000 0.0000 0.0000 1
Ru1 Ru 0.7500 0.7500 0.7500 1
Cd1 Cd 0.2500 0.2500 0.2500 1
# calculated volume	24.7	Å³ per atom
# SG	No. 216
# formation enthalpy at 0 K	-0.07	eV/atom
# D(E_F)	5.7	states/eV per cell